Entry from the Alexandria database: a PBEsol-optimized structure of K2Li14Zr3O14 (meta-GGA SCAN).

Results
- uncorrected formation energy (meV per atom) = -2533
- Fermi-level density of states (states/eV per atom) = 0.0000
- SG = Immm, No. 71

Cell: 7.255 8.172 7.768 Å, 118.38 90.00 116.35°
Fractional coordinates of all 33 atoms:
Li: 0.593 0.729 0.705
Li: 0.229 0.459 0.872
Li: 0.136 0.729 0.705
Li: 0.593 0.729 0.024
Li: 0.136 0.729 0.024
Li: 0.500 0.000 0.154
Li: 0.864 0.271 0.295
Li: 0.229 0.459 0.587
Li: 0.771 0.541 0.128
Li: 0.500 0.000 0.846
Li: 0.407 0.271 0.295
Li: 0.407 0.271 0.976
Li: 0.864 0.271 0.976
Li: 0.771 0.541 0.413
O: 0.542 0.511 0.256
O: 0.872 0.744 0.051
O: 0.629 0.258 0.838
O: 0.128 0.256 0.949
O: 0.128 0.256 0.307
O: 0.970 0.511 0.256
O: 0.458 0.489 0.744
O: 0.371 0.742 0.580
O: 0.713 0.000 0.000
O: 0.371 0.742 0.162
O: 0.287 0.000 0.000
O: 0.872 0.744 0.693
O: 0.629 0.258 0.420
O: 0.030 0.489 0.744
K: 0.758 0.000 0.500
K: 0.242 0.000 0.500
Zr: 0.000 0.000 0.000
Zr: 0.272 0.543 0.272
Zr: 0.728 0.457 0.728



Entry from the Alexandria database: a PBEsol-optimized structure of KLiOs2 (meta-GGA SCAN).

Results
- calculated formation energy (eV per atom) = 0.89
- Fermi-level density of states (states/eV per atom) = 0.7253
- offset from the most stable computed form (meV/atom) = 140.3
- SG = Cmm2, No. 35

Cell: 2.731 2.731 10.587 Å, 90.00 90.00 116.53°
Fractional coordinates of all 4 atoms:
Os: 0.000 0.000 0.989
Os: 0.500 0.500 0.788
Li: 0.500 0.500 0.200
K: 0.000 0.000 0.522



Entry from the Alexandria database: a PBEsol-optimized structure of KLiOs2 (meta-GGA SCAN).

Results
- calculated formation energy (eV per atom) = 1.03
- Fermi-level density of states (states/eV per atom) = 0.5034
- offset from the most stable computed form (meV/atom) = 284.5
- SG = I4/mmm, No. 139

Cell: 3.621 3.621 5.815 Å, 108.14 108.14 90.00°
Fractional coordinates of all 4 atoms:
Li: 0.000 0.000 0.000
K: 0.500 0.500 0.000
Os: 0.250 0.750 0.500
Os: 0.750 0.250 0.500



Entry from the Alexandria database: a PBEsol-optimized structure of K2LiOs (meta-GGA SCAN).

Results
- calculated formation energy (eV per atom) = 1.36
- Fermi-level density of states (states/eV per atom) = 0.8830
- offset from the most stable computed form (meV/atom) = 317.3
- SG = P4/mmm, No. 123

Cell: 4.382 4.382 5.200 Å, 90.00 90.00 90.00°
Site moments in Bohr magnetons follow the coordinates.
Fractional coordinates of all 4 atoms:
K: 0.000 0.500 0.000  -0.02
K: 0.500 0.000 0.000  -0.02
Li: 0.500 0.500 0.500  -0.03
Os: 0.000 0.000 0.500  1.54



Entry from the Alexandria database: a PBEsol-optimized structure of K2LiOs (meta-GGA SCAN).

Results
- calculated formation energy (eV per atom) = 1.05
- Fermi-level density of states (states/eV per atom) = 0.5850
- offset from the most stable computed form (meV/atom) = 0.0
- SG = P4/mmm, No. 123

Cell: 2.827 2.827 12.038 Å, 90.00 90.00 90.00°
Site moments in Bohr magnetons follow the coordinates.
Fractional coordinates of all 4 atoms:
K: 0.000 0.000 0.284  -0.01
K: 0.000 0.000 0.716  -0.01
Os: 0.500 0.500 0.500  0.45
Li: 0.500 0.500 0.000  0.01



Entry from the Alexandria database: a PBEsol-optimized structure of KLiOs2 (meta-GGA SCAN).

Results
- calculated formation energy (eV per atom) = 0.75
- Fermi-level density of states (states/eV per atom) = 1.2328
- offset from the most stable computed form (meV/atom) = 0.0
- SG = R3m, No. 160

Cell: 2.788 2.788 10.659 Å, 82.49 82.49 60.00°
Fractional coordinates of all 4 atoms:
Os: 0.735 0.735 0.794
Os: 0.005 0.005 0.986
Li: 0.266 0.266 0.201
K: 0.494 0.494 0.518



Entry from the Alexandria database: a PBEsol-optimized structure of K2LiOs (meta-GGA SCAN).

Results
- calculated formation energy (eV per atom) = 1.46
- Fermi-level density of states (states/eV per atom) = 0.5482
- offset from the most stable computed form (meV/atom) = 411.0
- SG = I-42d, No. 122

Cell: 4.167 4.167 11.332 Å, 100.59 100.59 90.00°
Site moments in Bohr magnetons follow the coordinates.
Fractional coordinates of all 8 atoms:
Li: 0.750 0.250 0.500  -0.03
Li: 0.500 0.500 0.000  -0.03
K: 0.378 0.875 0.250  -0.03
K: 0.125 0.128 0.750  -0.03
K: 0.625 0.622 0.750  -0.03
K: 0.872 0.375 0.250  -0.03
Os: 0.000 0.000 0.000  1.39
Os: 0.250 0.750 0.500  1.39



Entry from the Alexandria database: a PBEsol-optimized structure of K2LiOs (meta-GGA SCAN).

Results
- calculated formation energy (eV per atom) = 1.09
- Fermi-level density of states (states/eV per atom) = 0.3213
- offset from the most stable computed form (meV/atom) = 41.6
- SG = C2/m, No. 12

Cell: 2.722 6.003 6.253 Å, 61.31 86.76 83.24°
Fractional coordinates of all 4 atoms:
K: 0.000 0.500 0.500
K: 0.000 0.000 0.500
Li: 0.500 0.000 0.000
Os: 0.500 0.500 0.000



Entry from the Alexandria database: a PBEsol-optimized structure of KLi2Os2 (meta-GGA SCAN).

Results
- calculated formation energy (eV per atom) = 0.62
- Fermi-level density of states (states/eV per atom) = 0.6412
- SG = I4/mmm, No. 139

Cell: 3.541 3.541 9.524 Å, 100.71 100.71 90.00°
Fractional coordinates of all 5 atoms:
K: 0.000 0.000 0.000
Os: 0.750 0.250 0.500
Os: 0.250 0.750 0.500
Li: 0.642 0.642 0.284
Li: 0.358 0.358 0.716



Entry from the Alexandria database: a PBEsol-optimized structure of KLiP2 (meta-GGA SCAN).

Results
- calculated formation energy (eV per atom) = -0.53
- SG = C2/m, No. 12

Cell: 3.339 4.641 6.099 Å, 100.45 90.00 111.08°
Fractional coordinates of all 4 atoms:
K: 0.000 0.000 0.500
P: 0.242 0.484 0.121
P: 0.758 0.516 0.879
Li: 0.500 0.000 0.000



Entry from the Alexandria database: a PBEsol-optimized structure of KLiP2 (meta-GGA SCAN).

Results
- calculated formation energy (eV per atom) = 0.04
- Fermi-level density of states (states/eV per atom) = 0.2102
- SG = P4/mmm, No. 123

Cell: 3.960 3.960 4.620 Å, 90.00 90.00 90.00°
Fractional coordinates of all 4 atoms:
P: 0.500 0.000 0.000
P: 0.000 0.500 0.000
Li: 0.000 0.000 0.500
K: 0.500 0.500 0.500



Entry from the Alexandria database: a PBEsol-optimized structure of KLiP2 (meta-GGA SCAN).

Results
- calculated formation energy (eV per atom) = 0.28
- Fermi-level density of states (states/eV per atom) = 0.4338
- SG = Fm-3m, No. 225

Cell: 4.803 4.803 4.803 Å, 60.00 60.00 60.00°
Fractional coordinates of all 4 atoms:
Li: 0.500 0.500 0.500
P: 0.750 0.750 0.750
P: 0.250 0.250 0.250
K: 0.000 0.000 0.000



no.,DFT total energy (eV/atom)
1,-9.486
2,-37.733
3,-37.589
4,-21.369
5,-21.686
6,-37.874
7,-21.275
8,-21.645
9,-30.749
10,-8.408
11,-7.836
12,-7.595